Compound: LiCrIn2
Source: the Alexandria database
Functional: GGA-PBE
Structure: optimized geometry

Cell lengths 5.380, 5.380, 4.748 Å; angles 75.18, 75.18, 36.78 degrees
Fractional coordinates of all 4 atoms:
In1 0.992 0.992 0.049
Li1 0.504 0.504 0.526
Cr1 0.249 0.249 0.217
In2 0.755 0.755 0.708

Properties
The value obtained for the total magnetization is 3.81 Bohr magnetons per cell. Its calculated total energy is -0.151 Ha/atom.